(1)
SrSn12Ru4 | the Alexandria database | PBE | optimized geometry; space-group type = Im-3; volume = 436.12 Å³/cell; energy of formation = -0.023 eV per atom
1.0
8.275 0.000 0.000
-2.758 7.801 0.000
-2.758 -3.901 6.756
Sn Ru Sr
12 4 1
direct
0.831 0.665 0.496
0.665 0.496 0.831
0.335 0.504 0.169
0.169 0.335 0.504
0.504 0.169 0.335
0.831 0.335 0.165
0.165 0.831 0.335
0.335 0.165 0.831
0.169 0.665 0.835
0.496 0.831 0.665
0.665 0.835 0.169
0.835 0.169 0.665
0.500 0.000 0.000
0.000 0.000 0.500
0.500 0.500 0.500
0.000 0.500 0.000
0.000 0.000 0.000

---

(2)
SrSnRu3 | the Alexandria database | PBE | optimized geometry; space-group type = Pm-3m; volume = 119.16 Å³/cell; energy above the most stable polymorph in this dataset = 27.359 kcal/mol of atoms; energy of formation = 2.295 eV per atom
1.0
4.921 0.000 0.000
0.000 4.921 0.000
0.000 0.000 4.921
Ru Sr Sn
3 1 1
direct
0.500 0.000 0.000
0.000 0.500 0.000
0.000 0.000 0.500
0.000 0.000 0.000
0.500 0.500 0.500

---

(3)
SrSn4Ru | the Alexandria database | PBE | optimized geometry; space-group type = P-1; volume = 332.16 Å³/cell; energy of formation = -0.183 eV per atom
1.0
6.965 -0.002 0.002
0.002 7.278 1.081
-3.486 -1.885 6.271
Sr Sn Ru
2 8 2
direct
0.908 0.750 0.001
0.092 0.250 0.999
0.651 0.348 0.519
0.133 0.152 0.481
0.867 0.848 0.519
0.565 0.080 0.871
0.693 0.420 0.129
0.349 0.652 0.481
0.307 0.580 0.871
0.435 0.920 0.129
0.500 0.000 0.500
0.000 0.500 0.500

---

no.,raw total energy (eV per cell)
1,-87.21
2,-22.04
3,-56.13